Entry from the Alexandria database: a geometry-optimized Tb5NdTh2 structure (PBE).

```
16
Lattice="3.540 0.000 0.000 0.000 11.245 0.000 0.000 0.000 13.306" Properties=species:S:1:pos:R:3 pbc="T T T"
Tb 0.000 0.000 0.000
Tb 0.000 3.043 4.903
Tb 0.000 3.043 8.403
Tb 0.000 8.201 4.903
Tb 0.000 8.201 8.403
Tb 1.770 2.579 1.750
Tb 1.770 2.579 11.556
Tb 1.770 5.622 6.653
Tb 1.770 8.666 1.750
Tb 1.770 8.666 11.556
Nd 0.000 5.622 0.000
Nd 1.770 0.000 6.653
Th 0.000 0.000 3.475
Th 0.000 0.000 9.831
Th 1.770 5.622 3.178
Th 1.770 5.622 10.128
```

Values from the calculation:
Calculated formation energy   0.098 eV per atom
VASP energy   -5.247 eV per atom